(1)
A plane-wave DFT calculation with PBE was carried out for an optimized crystal structure of Rb2GeSe2.

Polymorph energy (0 for the lowest one) (meV/atom): 66
Symmetry: Ibam, No. 72
VASP energy (eV for the cell shown): -34.72
Formation energy from raw total energies (meV per atom): -768

Geometry as POSCAR:
```
Rb2GeSe2
1.0
-3.734 7.040 3.532
3.734 -7.040 3.532
3.734 7.040 -3.532
Rb Ge Se
4 2 4
direct
0.145 0.169 0.315
0.355 0.669 0.024
0.645 0.331 0.976
0.855 0.831 0.685
0.250 0.750 0.500
0.750 0.250 0.500
0.107 0.700 0.807
0.393 0.200 0.593
0.607 0.800 0.407
0.893 0.300 0.193
```

(2)
A plane-wave DFT calculation with PBE was carried out for an optimized crystal structure of Zr2BiIr2.

Energy of formation from the pure elements (meV per atom): -365
Polymorph energy (0 for the lowest one) (meV/atom): 245
Symmetry: I4/mmm, No. 139
VASP energy (eV for the cell shown): -40.53

Geometry as POSCAR:
```
Zr2BiIr2
1.0
-1.966 1.966 7.321
1.966 -1.966 7.321
1.966 1.966 -7.321
Zr Bi Ir
2 1 2
direct
0.127 0.127 0.000
0.873 0.873 0.000
0.500 0.500 0.000
0.250 0.750 0.500
0.750 0.250 0.500
```

(3)
A plane-wave DFT calculation with PBE was carried out for an optimized crystal structure of La2HgRh.

Energy of formation from the pure elements (meV per atom): -517
Symmetry: P4/mmm, No. 123
VASP energy (eV for the cell shown): -19.57

Geometry as POSCAR:
```
La2HgRh
1.0
5.249 0.000 0.000
0.000 5.249 0.000
0.000 0.000 3.829
La Hg Rh
2 1 1
direct
0.000 0.500 0.000
0.500 0.000 0.000
0.000 0.000 0.500
0.500 0.500 0.500
```

(4)
A plane-wave DFT calculation with PBE was carried out for an optimized crystal structure of NdHo9Er2.

Energy of formation from the pure elements (meV per atom): 39
Polymorph energy (0 for the lowest one) (meV/atom): 16
Symmetry: P6/mmm, No. 191
VASP energy (eV for the cell shown): -54.63

Geometry as POSCAR:
```
NdHo9Er2
1.0
11.167 0.000 0.000
-5.583 9.671 0.000
0.000 0.000 3.498
Nd Ho Er
1 9 2
direct
0.000 0.000 0.000
0.000 0.500 0.000
0.178 0.357 0.500
0.178 0.822 0.500
0.357 0.178 0.500
0.500 0.000 0.000
0.500 0.500 0.000
0.643 0.822 0.500
0.822 0.178 0.500
0.822 0.643 0.500
0.333 0.667 0.000
0.667 0.333 0.000
```

(5)
A plane-wave DFT calculation with PBE was carried out for an optimized crystal structure of Pm5AlPd2.

Energy of formation from the pure elements (meV per atom): -485
Symmetry: I4/mcm, No. 140
VASP energy (eV for the cell shown): -83.53

Geometry as POSCAR:
```
Pm5AlPd2
1.0
-4.010 4.010 6.764
4.010 -4.010 6.764
4.010 4.010 -6.764
Pm Al Pd
10 2 4
direct
0.000 0.000 0.000
0.017 0.517 0.822
0.195 0.017 0.500
0.305 0.805 0.822
0.483 0.305 0.500
0.500 0.500 0.000
0.517 0.695 0.500
0.695 0.195 0.178
0.805 0.983 0.500
0.983 0.483 0.178
0.250 0.250 0.000
0.750 0.750 0.000
0.131 0.369 0.500
0.369 0.869 0.239
0.631 0.131 0.761
0.869 0.631 0.500
```

(6)
A plane-wave DFT calculation with PBE was carried out for an optimized crystal structure of CrCuRu3.

Energy of formation from the pure elements (meV per atom): 1348
Polymorph energy (0 for the lowest one) (meV/atom): 0
Symmetry: Pm-3m, No. 221
VASP energy (eV for the cell shown): -34.81

Geometry as POSCAR:
```
CrCuRu3
1.0
4.400 0.000 0.000
0.000 4.400 0.000
0.000 0.000 4.400
Cr Cu Ru
1 1 3
direct
0.000 0.000 0.000
0.500 0.500 0.500
0.000 0.000 0.500
0.000 0.500 0.000
0.500 0.000 0.000
```

(7)
A plane-wave DFT calculation with PBE was carried out for an optimized crystal structure of Ca4Tb3Se8.

Symmetry: R-3m, No. 166
VASP energy (eV for the cell shown): -76.95
Formation energy from raw total energies (meV per atom): -1812

Geometry as POSCAR:
```
Ca4Tb3Se8
1.0
4.129 2.384 7.524
-4.129 2.384 7.524
0.000 -4.767 7.524
Ca Tb Se
4 3 8
direct
0.000 0.000 0.000
0.146 0.146 0.146
0.500 0.500 0.500
0.854 0.854 0.854
0.000 0.500 0.500
0.500 0.000 0.500
0.500 0.500 0.000
0.248 0.248 0.738
0.248 0.738 0.248
0.262 0.752 0.752
0.267 0.267 0.267
0.733 0.733 0.733
0.738 0.248 0.248
0.752 0.262 0.752
0.752 0.752 0.262
```

(8)
A plane-wave DFT calculation with PBE was carried out for an optimized crystal structure of PuSn4PdRh2.

Energy of formation from the pure elements (meV per atom): -373
Symmetry: R-3m, No. 166
VASP energy (eV for the cell shown): -53.22

Geometry as POSCAR:
```
PuSn4PdRh2
1.0
2.307 1.332 8.911
-2.307 1.332 8.911
0.000 -2.664 8.911
Pu Sn Pd Rh
1 4 1 2
direct
0.000 0.000 0.000
0.127 0.127 0.127
0.393 0.393 0.393
0.607 0.607 0.607
0.873 0.873 0.873
0.500 0.500 0.500
0.233 0.233 0.233
0.767 0.767 0.767
```

(9)
A plane-wave DFT calculation with PBE was carried out for an optimized crystal structure of AcPmGePd.

Energy of formation from the pure elements (meV per atom): -672
Symmetry: F-43m, No. 216
VASP energy (eV for the cell shown): -21.36

Geometry as POSCAR:
```
AcPmGePd
1.0
0.000 3.755 3.755
3.755 0.000 3.755
3.755 3.755 0.000
Ac Pm Ge Pd
1 1 1 1
direct
0.000 0.000 0.000
0.500 0.500 0.500
0.250 0.250 0.250
0.750 0.750 0.750
```

(10)
A plane-wave DFT calculation with PBE was carried out for an optimized crystal structure of SrLi3Br.

Polymorph energy (0 for the lowest one) (meV/atom): 888
Symmetry: Pm-3m, No. 221
VASP energy (eV for the cell shown): -6.29
Formation energy from raw total energies (meV per atom): 562

Geometry as POSCAR:
```
SrLi3Br
1.0
6.617 0.000 0.000
0.000 6.617 0.000
0.000 0.000 6.617
Sr Li Br
1 3 1
direct
0.000 0.000 0.000
0.000 0.000 0.500
0.000 0.500 0.000
0.500 0.000 0.000
0.500 0.500 0.500
```

(11)
A plane-wave DFT calculation with PBE was carried out for an optimized crystal structure of In3NiSn.

Energy of formation from the pure elements (meV per atom): -15
Polymorph energy (0 for the lowest one) (meV/atom): 0
Symmetry: C2/m, No. 12
VASP energy (eV for the cell shown): -36.15

Geometry as POSCAR:
```
In3NiSn
1.0
5.342 -4.187 0.000
5.342 4.187 0.000
-4.113 0.000 5.260
In Ni Sn
6 2 2
direct
0.046 0.046 0.326
0.053 0.444 0.219
0.444 0.053 0.219
0.556 0.947 0.781
0.947 0.556 0.781
0.954 0.954 0.674
0.258 0.258 0.877
0.742 0.742 0.123
0.443 0.443 0.723
0.557 0.557 0.277
```

(12)
A plane-wave DFT calculation with PBE was carried out for an optimized crystal structure of Ho12Tm7Hf.

Energy of formation from the pure elements (meV per atom): 310
Symmetry: R-3, No. 148
VASP energy (eV for the cell shown): -89.99

Geometry as POSCAR:
```
Ho12Tm7Hf
1.0
6.283 3.627 4.535
-6.283 3.627 4.535
0.000 -7.254 4.535
Ho Tm Hf
12 7 1
direct
0.146 0.411 0.476
0.189 0.751 0.318
0.249 0.682 0.811
0.318 0.189 0.751
0.411 0.476 0.146
0.476 0.146 0.411
0.524 0.854 0.589
0.589 0.524 0.854
0.682 0.811 0.249
0.751 0.318 0.189
0.811 0.249 0.682
0.854 0.589 0.524
0.015 0.078 0.343
0.078 0.343 0.015
0.343 0.015 0.078
0.500 0.500 0.500
0.657 0.985 0.922
0.922 0.657 0.985
0.985 0.922 0.657
0.000 0.000 0.000
```